# 1
A plane-wave DFT calculation with PBE was carried out for a relaxed structure of Zr2ScBr.

Values from the calculation:
spin magnetization	2.25	Bohr magnetons per cell
final energy	-23.4	eV/cell
energy relative to the elements, uncorrected	0.43	eV per atom

POSCAR file:
```
Zr2ScBr
1.0
-1.3167 -4.6532 -1.4552
-4.7082 -0.9135 -1.5819
-0.8822 -0.9654 -4.8779
Sc Br Zr
1 1 2
Direct
0.0000 0.0000 0.0000
0.5000 0.5000 0.5000
0.2500 0.2500 0.2500
0.7500 0.7500 0.7500
```

---

# 2
A plane-wave DFT calculation with PBE was carried out for a relaxed structure of Ho2Ti2Fe15.

Values from the calculation:
formation energy	-0.10	eV/atom
spin magnetization	28.52	Bohr magnetons per cell
final energy	-153.7	eV/cell

POSCAR file:
```
Ho2Ti2Fe15
1.0
4.8407 -4.2232 0.0170
4.8407 4.2232 0.0170
1.1341 0.0000 6.3232
Ho Ti Fe
2 2 15
Direct
0.3495 0.3495 0.3495
0.6505 0.6505 0.6505
0.1025 0.1025 0.1025
0.8975 0.8975 0.8975
0.0000 0.5000 0.0000
0.0000 0.0000 0.5000
0.5000 0.0000 0.0000
0.6975 0.0000 0.3025
0.3025 0.6975 0.0000
0.0000 0.3025 0.6975
0.6975 0.3025 0.0000
0.0000 0.6975 0.3025
0.3025 0.0000 0.6975
0.6570 0.1603 0.6570
0.6570 0.6570 0.1603
0.1603 0.6570 0.6570
0.3430 0.8397 0.3430
0.3430 0.3430 0.8397
0.8397 0.3430 0.3430
```

---

# 3
A plane-wave DFT calculation with PBE was carried out for a relaxed structure of TbNd2Dy5Ho.

Values from the calculation:
formation energy	0.27	eV/atom
spin magnetization	0.00	Bohr magnetons per cell
final energy	-78.6	eV/cell

POSCAR file:
```
TbNd2Dy5Ho
1.0
-3.8234 -6.0652 -4.7828
2.3797 -6.0020 5.7090
-5.9979 7.1420 3.5032
Tb Nd Dy Ho
2 4 10 2
Direct
0.2500 0.2500 0.5000
0.7500 0.7500 0.5000
0.1182 0.3818 0.0000
0.6182 0.1182 0.0000
0.3818 0.8818 0.0000
0.8818 0.6182 0.0000
0.9279 0.4279 0.2808
0.6471 0.1471 0.7192
0.0721 0.5721 0.7192
0.1471 0.0721 0.7192
0.5721 0.6471 0.7192
0.8529 0.9279 0.2808
0.4279 0.3529 0.2808
0.3529 0.8529 0.2808
0.5000 0.5000 0.0000
0.0000 0.0000 0.0000
0.2500 0.7500 0.5000
0.7500 0.2500 0.5000
```

---

# 4
A plane-wave DFT calculation with PBE was carried out for a relaxed structure of AuI2Cl2.

Values from the calculation:
energy above the most stable polymorph in this dataset	0.00	eV per formula unit
spin magnetization	0.00	Bohr magnetons per cell
final energy	-10.6	eV/cell
energy relative to the elements, uncorrected	-0.10	eV per atom

POSCAR file:
```
AuI2Cl2
1.0
-0.6513 4.9810 -2.6580
-1.8785 0.6247 5.3719
5.5547 2.4770 1.9967
Au I Cl
1 2 2
Direct
0.2000 0.0000 0.0000
0.8636 0.6641 0.8094
0.5362 0.3359 0.1907
0.0041 0.8034 0.3367
0.3960 0.1964 0.6633
```

---

# 5
A plane-wave DFT calculation with PBE was carried out for a relaxed structure of Ac2Ni5As4.

Values from the calculation:
formation energy	-0.60	eV/atom
spin magnetization	0.00	Bohr magnetons per cell
final energy	-62.3	eV/cell

POSCAR file:
```
Ac2Ni5As4
1.0
-0.9244 -2.7891 4.9566
3.9871 0.3833 4.3086
-3.6352 4.0193 4.9329
Ac Ni As
2 5 4
Direct
0.8581 0.0000 0.2838
0.1419 0.0000 0.7162
0.5000 0.0000 0.0000
0.0000 0.5000 0.0000
0.5000 0.5000 0.0000
0.2500 0.5000 0.5000
0.7500 0.5000 0.5000
0.4686 0.3179 0.7448
0.5314 0.6821 0.2552
0.2134 0.3179 0.2552
0.7866 0.6821 0.7448
```

---

# 6
A plane-wave DFT calculation with PBE was carried out for a relaxed structure of MgScP.

Values from the calculation:
formation energy	-0.55	eV/atom
spin magnetization	0.00	Bohr magnetons per cell
final energy	-15.0	eV/cell

POSCAR file:
```
MgScP
1.0
4.1848 0.0000 0.0000
-2.0924 3.6241 0.0000
0.0000 0.0000 3.6476
Mg P Sc
1 1 1
Direct
0.0000 0.0000 0.1673
0.6667 0.3333 0.1659
0.3333 0.6667 0.6668
```

---

# 7
A plane-wave DFT calculation with PBE was carried out for a relaxed structure of K12Rb6Li.

Values from the calculation:
formation energy	0.04	eV/atom
spin magnetization	0.00	Bohr magnetons per cell
final energy	-20.1	eV/cell

POSCAR file:
```
K12Rb6Li
1.0
-2.1117 6.6415 8.9368
-9.9052 -5.4000 1.0778
5.4041 -7.6566 6.3723
K Rb Li
12 6 1
Direct
0.4700 0.2062 0.5384
0.2062 0.5384 0.4700
0.5384 0.4700 0.2062
0.5300 0.7938 0.4616
0.7938 0.4616 0.5300
0.4616 0.5300 0.7938
0.8579 0.9483 0.6403
0.3597 0.1421 0.0517
0.0517 0.3597 0.1421
0.1421 0.0517 0.3597
0.6403 0.8579 0.9483
0.9483 0.6403 0.8579
0.1135 0.2724 0.7459
0.7276 0.2541 0.8865
0.2541 0.8865 0.7276
0.8865 0.7276 0.2541
0.2724 0.7459 0.1135
0.7459 0.1135 0.2724
0.0000 0.0000 0.0000
```

---

# 8
A plane-wave DFT calculation with PBE was carried out for a relaxed structure of Cu2AsO2.

Values from the calculation:
energy above the most stable polymorph in this dataset	0.22	eV per formula unit
spin magnetization	0.00	Bohr magnetons per cell
final energy	-44.6	eV/cell
energy relative to the elements, uncorrected	0.09	eV per atom

POSCAR file:
```
Cu2AsO2
1.0
-1.7853 1.4905 -5.9413
-6.0943 -1.0549 1.5667
-0.2605 2.5838 0.7264
As O Cu
2 4 4
Direct
0.0000 0.0000 0.0000
0.5000 0.5000 0.0000
0.1561 0.6561 0.5000
0.6561 0.8439 0.5000
0.8439 0.3439 0.5000
0.3439 0.1561 0.5000
0.3601 0.8601 0.0000
0.8601 0.6399 0.0000
0.6399 0.1399 0.0000
0.1399 0.3601 0.0000
```

---

# 9
A plane-wave DFT calculation with PBE was carried out for a relaxed structure of Li2TaBe.

Values from the calculation:
formation energy	0.42	eV/atom
spin magnetization	0.00	Bohr magnetons per cell
final energy	-17.7	eV/cell

POSCAR file:
```
Li2TaBe
1.0
4.8354 -0.0026 -0.0105
-2.3775 5.1915 0.0064
0.0805 0.5932 2.4107
Be Li Ta
1 2 1
Direct
0.5000 0.5000 0.0000
0.0000 0.0000 0.0000
0.5000 0.0000 0.5000
0.0000 0.5000 0.5000
```

---

# 10
A plane-wave DFT calculation with PBE was carried out for a relaxed structure of ScGa4Ni4.

Values from the calculation:
formation energy	-0.35	eV/atom
spin magnetization	0.00	Bohr magnetons per cell
final energy	-89.4	eV/cell

POSCAR file:
```
ScGa4Ni4
1.0
-0.1323 4.0951 1.2452
-4.9073 1.6193 -5.8464
-6.0617 -1.6075 4.6428
Sc Ga Ni
2 8 8
Direct
0.0000 0.0000 0.0000
0.5000 0.5000 0.5000
0.4999 0.2441 0.8682
0.9999 0.6318 0.7441
0.4999 0.7559 0.1318
0.0001 0.2559 0.6318
0.5001 0.8682 0.7559
0.0001 0.7441 0.3682
0.9999 0.3682 0.2559
0.5001 0.1318 0.2441
0.5001 0.8686 0.4219
0.5001 0.1314 0.5781
0.0001 0.9219 0.6314
0.9999 0.3686 0.9219
0.9999 0.6314 0.0781
0.4999 0.4219 0.1314
0.4999 0.5781 0.8686
0.0001 0.0781 0.3686
```

---

# 11
A plane-wave DFT calculation with PBE was carried out for a relaxed structure of Pm7Pr3Sm2.

Values from the calculation:
formation energy	0.07	eV/atom
energy above the most stable polymorph in this dataset	0.00	eV per formula unit
spin magnetization	0.00	Bohr magnetons per cell
final energy	-56.2	eV/cell

POSCAR file:
```
Pm7Pr3Sm2
1.0
3.6053 0.0000 0.0000
0.0000 6.4654 0.7817
0.0000 2.3923 18.2924
Pm Pr Sm
7 3 2
Direct
0.5000 0.2434 0.5010
0.5000 0.7566 0.4990
0.0000 0.5621 0.1666
0.0000 0.0000 0.0000
0.0000 0.4379 0.8334
0.5000 0.9434 0.8326
0.5000 0.0566 0.1674
0.5000 0.5000 0.0000
0.0000 0.1126 0.3388
0.0000 0.8874 0.6612
0.5000 0.6146 0.3292
0.5000 0.3854 0.6708
```

---

# 12
A plane-wave DFT calculation with PBE was carried out for a relaxed structure of LaCu2Ru.

Values from the calculation:
formation energy	-0.06	eV/atom
energy above the most stable polymorph in this dataset	0.00	eV per formula unit
spin magnetization	0.00	Bohr magnetons per cell
final energy	-22.6	eV/cell

POSCAR file:
```
LaCu2Ru
1.0
-0.6156 -2.2487 -3.7010
2.1946 -3.7206 -0.6887
-3.0223 -4.4589 0.6409
Cu La Ru
2 1 1
Direct
0.9922 0.9922 0.0240
0.6932 0.6932 0.9203
0.4967 0.4967 0.5085
0.3179 0.3179 0.0472
```

---

# 13
A plane-wave DFT calculation with PBE was carried out for a relaxed structure of HgIr2Ru.

Values from the calculation:
formation energy	0.59	eV/atom
spin magnetization	1.36	Bohr magnetons per cell
final energy	-24.9	eV/cell

POSCAR file:
```
HgIr2Ru
1.0
4.7777 0.0000 0.0000
0.0000 2.7801 -0.0026
0.0000 0.0074 4.8806
Hg Ir Ru
1 2 1
Direct
0.5000 0.7500 0.7500
0.0000 0.0028 0.0184
0.0000 0.4972 0.4816
0.5000 0.2500 0.2500
```

---

# 14
A plane-wave DFT calculation with PBE was carried out for a relaxed structure of HfAsIrSe2.

Values from the calculation:
energy above the most stable polymorph in this dataset	0.00	eV per formula unit
spin magnetization	0.00	Bohr magnetons per cell
final energy	-28.2	eV/cell
energy relative to the elements, uncorrected	0.46	eV per atom

POSCAR file:
```
HfAsIrSe2
1.0
-2.6238 -4.1932 0.3614
3.7265 -2.1167 2.4960
-1.8241 1.4846 3.9823
As Ir Hf Se
1 1 1 2
Direct
0.0000 0.0000 0.5000
0.0000 0.0000 0.0000
0.5000 0.5000 0.5000
0.0000 0.5000 0.0000
0.5000 0.0000 0.0000
```

---

# 15
A plane-wave DFT calculation with PBE was carried out for a relaxed structure of La2NdDy5Y.

Values from the calculation:
formation energy	0.25	eV/atom
spin magnetization	0.00	Bohr magnetons per cell
final energy	-83.7	eV/cell

POSCAR file:
```
La2NdDy5Y
1.0
8.7101 0.0000 0.0000
0.0000 8.7101 0.0000
-4.3551 -4.3551 7.9254
La Nd Dy Y
4 2 10 2
Direct
0.1176 0.3824 0.0000
0.6176 0.1176 0.0000
0.3824 0.8824 0.0000
0.8824 0.6176 0.0000
0.2500 0.2500 0.5000
0.7500 0.7500 0.5000
0.9245 0.4245 0.2816
0.6429 0.1429 0.7184
0.0755 0.5755 0.7184
0.1429 0.0755 0.7184
0.5755 0.6429 0.7184
0.8571 0.9245 0.2816
0.4245 0.3571 0.2816
0.3571 0.8571 0.2816
0.5000 0.5000 0.0000
0.0000 0.0000 0.0000
0.2500 0.7500 0.5000
0.7500 0.2500 0.5000
```

---

# 16
A plane-wave DFT calculation with PBE was carried out for a relaxed structure of LiTb5Ho4.

Values from the calculation:
formation energy	0.04	eV/atom
spin magnetization	0.00	Bohr magnetons per cell
final energy	-43.0	eV/cell

POSCAR file:
```
LiTb5Ho4
1.0
-2.8388 -1.7300 -1.2706
-0.2268 -1.8532 3.0299
-14.3501 16.7932 9.1970
Li Tb Ho
1 5 4
Direct
0.0000 0.0000 0.0000
0.5000 0.5000 0.0847
0.5000 0.5000 0.2914
0.5000 0.5000 0.5000
0.5000 0.5000 0.7086
0.5000 0.5000 0.9153
0.0000 0.0000 0.1870
0.0000 0.0000 0.3956
0.0000 0.0000 0.6044
0.0000 0.0000 0.8130
```

---

# 17
A plane-wave DFT calculation with PBE was carried out for a relaxed structure of Sm2Be2CdPd5.

Values from the calculation:
formation energy	-0.68	eV/atom
spin magnetization	0.00	Bohr magnetons per cell
final energy	-101.1	eV/cell

POSCAR file:
```
Sm2Be2CdPd5
1.0
-0.4346 -2.2078 2.7196
-6.5514 -5.1226 -5.2054
7.2026 -5.6886 -3.4670
Sm Be Cd Pd
4 4 2 10
Direct
0.0000 0.6790 0.1790
0.0000 0.3210 0.8210
0.0000 0.1790 0.3210
0.0000 0.8210 0.6790
0.0000 0.1162 0.6162
0.0000 0.8838 0.3838
0.0000 0.6162 0.8838
0.0000 0.3838 0.1162
0.0000 0.0000 0.0000
0.0000 0.5000 0.5000
0.5000 0.2217 0.0685
0.5000 0.7783 0.9315
0.5000 0.0685 0.7783
0.5000 0.7217 0.4315
0.5000 0.9315 0.2217
0.5000 0.2783 0.5685
0.5000 0.5685 0.7217
0.5000 0.4315 0.2783
0.5000 0.5000 0.0000
0.5000 0.0000 0.5000
```

---

# 18
A plane-wave DFT calculation with PBE was carried out for a relaxed structure of Dy2CuP.

Values from the calculation:
formation energy	-0.26	eV/atom
spin magnetization	0.00	Bohr magnetons per cell
final energy	-19.8	eV/cell

POSCAR file:
```
Dy2CuP
1.0
-1.1845 -1.2178 3.3926
2.5085 -0.5959 2.7836
-0.5247 7.7311 4.7136
P Cu Dy
1 1 2
Direct
0.5000 0.5000 0.5000
0.0000 0.0000 0.0000
0.1059 0.1059 0.6824
0.8941 0.8941 0.3176
```

---

# 19
A plane-wave DFT calculation with PBE was carried out for a relaxed structure of Sr2GaGePd6.

Values from the calculation:
formation energy	-0.62	eV/atom
spin magnetization	0.00	Bohr magnetons per cell
final energy	-48.3	eV/cell

POSCAR file:
```
Sr2GaGePd6
1.0
-3.9833 -3.2911 -4.2708
1.4699 -6.2141 2.3568
-4.3843 -2.7201 2.4072
Sr Ga Ge Pd
2 1 1 6
Direct
0.7164 0.2086 0.5374
0.2836 0.7914 0.4626
0.0000 0.0000 0.0000
0.5000 0.5000 0.0000
0.2420 0.2684 0.4978
0.7563 0.7331 0.0086
0.1140 0.6155 0.1334
0.8860 0.3845 0.8666
0.2437 0.2669 0.9914
0.7580 0.7316 0.5022
```

---

# 20
A plane-wave DFT calculation with PBE was carried out for a relaxed structure of CdPbC3.

Values from the calculation:
formation energy	3.25	eV/atom
energy above the most stable polymorph in this dataset	1.05	eV per formula unit
spin magnetization	2.14	Bohr magnetons per cell
final energy	-16.0	eV/cell

POSCAR file:
```
CdPbC3
1.0
4.5277 0.0000 0.0000
0.0000 4.5277 0.0000
0.0000 0.0000 4.5277
Pb C Cd
1 3 1
Direct
0.0000 0.0000 0.0000
0.0000 0.5000 0.0000
0.0000 0.0000 0.5000
0.5000 0.0000 0.0000
0.5000 0.5000 0.5000
```